1.
! KCa3Zn PBE relaxed; values from VASP
! M_tot: 0.000 μB/atom
! Formation energy: 0.98 eV per atom
! DOS(E_F): 1.50 states/eV per atom
! Energy relative to the lowest polymorph listed for this composition: 955 meV per atom
&SYSTEM
  ibrav = 0, nat = 5, ntyp = 3
/
ATOMIC_SPECIES
K 39.10 K.upf
Ca 40.08 Ca.upf
Zn 65.41 Zn.upf
CELL_PARAMETERS angstrom
6.758 0.000 0.000
0.000 6.758 0.000
0.000 0.000 6.758
ATOMIC_POSITIONS angstrom
K 0.000 0.000 0.000
Ca 0.000 0.000 3.379
Ca 0.000 3.379 0.000
Ca 3.379 0.000 0.000
Zn 3.379 3.379 3.379



2.
! La3TaNi PBE relaxed; values from VASP
! M_tot: 0.310 μB/atom
! Formation energy: 0.57 eV per atom
! DOS(E_F): 1.66 states/eV per atom
! Energy relative to the lowest polymorph listed for this composition: 0 meV per atom
&SYSTEM
  ibrav = 0, nat = 5, ntyp = 3
/
ATOMIC_SPECIES
La 138.91 La.upf
Ta 180.95 Ta.upf
Ni 58.69 Ni.upf
CELL_PARAMETERS angstrom
5.327 0.000 0.000
0.000 5.327 0.000
0.000 0.000 5.327
ATOMIC_POSITIONS angstrom
La 0.000 0.000 2.663
La 0.000 2.663 0.000
La 2.663 0.000 0.000
Ta 2.663 2.663 2.663
Ni 0.000 0.000 0.000



3.
! BeVGe3 PBE relaxed; values from VASP
! M_tot: 0.581 μB/atom
! Formation energy: 0.70 eV per atom
! DOS(E_F): 0.93 states/eV per atom
! Energy relative to the lowest polymorph listed for this composition: 0 meV per atom
&SYSTEM
  ibrav = 0, nat = 5, ntyp = 3
/
ATOMIC_SPECIES
Be 9.01 Be.upf
V 50.94 V.upf
Ge 72.64 Ge.upf
CELL_PARAMETERS angstrom
4.445 0.000 0.000
0.000 4.445 0.000
0.000 0.000 4.445
ATOMIC_POSITIONS angstrom
Be 0.000 0.000 0.000
V 2.222 2.222 2.222
Ge 0.000 0.000 2.222
Ge 0.000 2.222 0.000
Ge 2.222 0.000 0.000



4.
! BaMgZn2Ga PBE relaxed; values from VASP
! M_tot: 0.000 μB/atom
! Formation energy: -0.24 eV per atom
! DOS(E_F): 0.90 states/eV per atom
&SYSTEM
  ibrav = 0, nat = 5, ntyp = 4
/
ATOMIC_SPECIES
Ba 137.33 Ba.upf
Mg 24.30 Mg.upf
Zn 65.41 Zn.upf
Ga 69.72 Ga.upf
CELL_PARAMETERS angstrom
-2.289 2.321 5.730
2.289 -2.321 5.730
2.289 2.321 -5.730
ATOMIC_POSITIONS angstrom
Ba 0.000 0.000 0.000
Mg 2.289 0.000 2.844
Zn 0.000 0.000 4.408
Zn 0.000 2.321 2.816
Ga 0.000 0.000 7.087



5.
! KCa2Mg PBE relaxed; values from VASP
! M_tot: 0.000 μB/atom
! Formation energy: 0.12 eV per atom
! DOS(E_F): 1.19 states/eV per atom
&SYSTEM
  ibrav = 0, nat = 4, ntyp = 3
/
ATOMIC_SPECIES
K 39.10 K.upf
Ca 40.08 Ca.upf
Mg 24.30 Mg.upf
CELL_PARAMETERS angstrom
3.425 -1.977 0.000
3.425 1.977 0.000
-2.267 0.000 12.546
ATOMIC_POSITIONS angstrom
K 0.000 0.000 0.000
Ca 0.009 0.000 8.850
Ca 2.289 0.000 3.698
Mg 4.574 0.000 6.277



6.
! AlNiAsSe2 PBE relaxed; values from VASP
! M_tot: 0.000 μB/atom
! Uncorrected formation energy: 0.336 eV/atom
! DOS(E_F): 0.97 states/eV per atom
! Energy relative to the lowest polymorph listed for this composition: 0 meV per atom
&SYSTEM
  ibrav = 0, nat = 5, ntyp = 4
/
ATOMIC_SPECIES
Al 26.98 Al.upf
Ni 58.69 Ni.upf
As 74.92 As.upf
Se 78.96 Se.upf
CELL_PARAMETERS angstrom
4.960 0.000 0.000
0.000 4.960 0.000
0.000 0.000 4.320
ATOMIC_POSITIONS angstrom
Al 0.000 0.000 0.000
Ni 2.480 2.480 2.160
As 2.480 2.480 0.000
Se 0.000 2.480 2.160
Se 2.480 0.000 2.160